Record 1
Material: Ac3Pm2Pr6
Method: DFT, GGA-PBE
State: optimized geometry

Values from the calculation:
E_tot: -4.5636 eV per atom
crystal system: trigonal
DOS at the Fermi energy: 16.3 states/eV/cell

abc: 3.7914 3.7914 33.8223
angles: 86.79 86.79 60.00
With the nearest neighbours (Å) after each atom.
Fractional coordinates of all 11 atoms:
Pr (0.3643, 0.3643, 0.9070)  6 Pr 3.79, 6 Ac 3.83
Pr (0.6357, 0.6357, 0.0930)  6 Pr 3.79, 6 Ac 3.83
Pr (0.9068, 0.9068, 0.2795)  3 Pm 3.69, 6 Pr 3.79, 3 Ac 3.84
Pr (0.1816, 0.1816, 0.4552)  3 Pm 3.68, 9 Pr 3.73-3.79
Pr (0.8184, 0.8184, 0.5448)  3 Pm 3.68, 9 Pr 3.73-3.79
Pr (0.0932, 0.0932, 0.7205)  3 Pm 3.69, 6 Pr 3.79, 3 Ac 3.84
Pm (0.4558, 0.4558, 0.6325)  6 Pr 3.68-3.69, 6 Pm 3.79
Pm (0.5442, 0.5442, 0.3675)  6 Pr 3.68-3.69, 6 Pm 3.79
Ac (0.0000, 0.0000, 0.0000)  6 Ac 3.79, 6 Pr 3.83
Ac (0.2713, 0.2713, 0.1862)  6 Ac 3.79, 6 Pr 3.83-3.84
Ac (0.7287, 0.7287, 0.8138)  6 Ac 3.79, 6 Pr 3.83-3.84


Record 2
Material: Ac4Pm2Pr
Method: DFT, GGA-PBE
State: optimized geometry

Values from the calculation:
E_tot: -4.0990 eV per atom
crystal system: tetragonal
DOS at the Fermi energy: 18.3 states/eV/cell

abc: 6.1748 9.9534 9.9534
angles: 90.00 90.00 90.00
With the nearest neighbours (Å) after each atom.
Fractional coordinates of all 14 atoms:
Ac (0.5000, 0.0945, 0.6468)  2 Ac 3.47-3.64, 1 Pr 3.64, 2 Pm 3.66
Ac (0.0000, 0.5945, 0.8532)  2 Ac 3.47-3.64, 1 Pr 3.64, 2 Pm 3.66
Ac (0.5000, 0.9055, 0.3532)  2 Ac 3.47-3.64, 1 Pr 3.64, 2 Pm 3.66
Ac (0.0000, 0.4055, 0.1468)  2 Ac 3.47-3.64, 1 Pr 3.64, 2 Pm 3.66
Ac (0.0000, 0.1468, 0.4055)  2 Ac 3.47-3.64, 1 Pr 3.64, 2 Pm 3.66
Ac (0.5000, 0.6468, 0.0945)  2 Ac 3.47-3.64, 1 Pr 3.64, 2 Pm 3.66
Ac (0.5000, 0.3532, 0.9055)  2 Ac 3.47-3.64, 1 Pr 3.64, 2 Pm 3.66
Ac (0.0000, 0.8532, 0.5945)  2 Ac 3.47-3.64, 1 Pr 3.64, 2 Pm 3.66
Pm (0.5000, 0.3283, 0.3283)  6 Ac 3.66-3.93, 2 Pr 3.92
Pm (0.0000, 0.1717, 0.8283)  6 Ac 3.66-3.93, 2 Pr 3.92
Pm (0.0000, 0.8283, 0.1717)  6 Ac 3.66-3.93, 2 Pr 3.92
Pm (0.5000, 0.6717, 0.6717)  6 Ac 3.66-3.93, 2 Pr 3.92
Pr (0.5000, 0.0000, 0.0000)  4 Ac 3.64, 4 Pm 3.92
Pr (0.0000, 0.5000, 0.5000)  4 Ac 3.64, 4 Pm 3.92


Record 3
Material: AcPm7Pr3
Method: DFT, GGA-PBE
State: optimized geometry

Values from the calculation:
E_tot: -4.5217 eV per atom
crystal system: trigonal
DOS at the Fermi energy: 16.7 states/eV/cell

abc: 8.9159 7.3129 7.3129
angles: 120.00 90.00 90.00
With the nearest neighbours (Å) after each atom.
Fractional coordinates of all 11 atoms:
Pm (0.1139, 0.6678, 0.8339)  2 Pr 3.61, 1 Ac 3.62, 8 Pm 3.64-3.67
Pm (0.4490, 0.8328, 0.1672)  7 Pm 3.58-3.67, 2 Ac 3.66, 2 Pr 3.67
Pm (0.4490, 0.3344, 0.1672)  7 Pm 3.58-3.67, 2 Ac 3.66, 2 Pr 3.67
Pm (0.1139, 0.1661, 0.8339)  2 Pr 3.61, 1 Ac 3.62, 8 Pm 3.64-3.67
Pm (0.1245, 0.6667, 0.3333)  9 Pm 3.58-3.66, 3 Pr 3.67
Pm (0.4490, 0.8328, 0.6656)  7 Pm 3.58-3.67, 2 Ac 3.66, 2 Pr 3.67
Pm (0.1139, 0.1661, 0.3322)  2 Pr 3.61, 1 Ac 3.62, 8 Pm 3.64-3.67
Pr (0.7863, 0.5012, 0.0025)  5 Pm 3.61-3.67, 4 Pr 3.63-3.68, 1 Ac 3.73
Pr (0.7863, 0.9975, 0.4988)  5 Pm 3.61-3.67, 4 Pr 3.63-3.68, 1 Ac 3.73
Pr (0.7863, 0.5012, 0.4988)  5 Pm 3.61-3.67, 4 Pr 3.63-3.68, 1 Ac 3.73
Ac (0.4430, 0.3333, 0.6667)  9 Pm 3.62-3.66, 3 Pr 3.73


Record 4
Material: Ac2PmPr4
Method: DFT, GGA-PBE
State: optimized geometry

Values from the calculation:
E_tot: -4.5652 eV per atom
crystal system: trigonal
DOS at the Fermi energy: 10.3 states/eV/cell

abc: 3.8186 3.8186 21.3876
angles: 84.88 84.88 60.00
With the nearest neighbours (Å) after each atom.
Fractional coordinates of all 7 atoms:
Ac (0.4054, 0.4054, 0.7838)  6 Pr 3.80-3.81, 6 Ac 3.82
Ac (0.5946, 0.5946, 0.2162)  6 Pr 3.80-3.81, 6 Ac 3.82
Pm (0.5000, 0.5000, 0.5000)  6 Pr 3.67, 6 Pm 3.82
Pr (0.8794, 0.8794, 0.3618)  3 Pm 3.67, 3 Ac 3.80, 6 Pr 3.82
Pr (0.1206, 0.1206, 0.6382)  3 Pm 3.67, 3 Ac 3.80, 6 Pr 3.82
Pr (0.3099, 0.3099, 0.0702)  9 Pr 3.71-3.82, 3 Ac 3.81
Pr (0.6901, 0.6901, 0.9298)  9 Pr 3.71-3.82, 3 Ac 3.81


Record 5
Material: Ac3PmPr5
Method: DFT, GGA-PBE
State: optimized geometry

Values from the calculation:
E_tot: -4.2658 eV per atom
crystal system: tetragonal
DOS at the Fermi energy: 26.5 states/eV/cell

abc: 9.2729 9.2729 10.4902
angles: 116.23 116.23 90.00
With the nearest neighbours (Å) after each atom.
Fractional coordinates of all 18 atoms:
Pr (0.1579, 0.0580, 0.7159)  1 Pm 3.16, 1 Ac 3.25
Pr (0.5000, 0.5000, 0.0000)  6 Ac 3.66-4.09, 8 Pr 4.07
Pr (0.5580, 0.6579, 0.7159)  1 Pm 3.16, 1 Ac 3.25
Pr (0.0000, 0.0000, 0.0000)  6 Ac 3.66-4.09, 8 Pr 4.07
Pr (0.4420, 0.3421, 0.2841)  1 Pm 3.16, 1 Ac 3.25
Pr (0.3421, 0.8421, 0.2841)  1 Pm 3.16, 1 Ac 3.25
Pr (0.9420, 0.4420, 0.2841)  1 Pm 3.16, 1 Ac 3.25
Pr (0.6579, 0.1579, 0.7159)  1 Pm 3.16, 1 Ac 3.25
Pr (0.0580, 0.5580, 0.7159)  1 Pm 3.16, 1 Ac 3.25
Pr (0.8421, 0.9420, 0.2841)  1 Pm 3.16, 1 Ac 3.25
Ac (0.8734, 0.6266, 0.0000)  2 Pr 3.25, 1 Ac 3.32
Ac (0.2500, 0.2500, 0.5000)  10 Pr 3.78-4.09
Ac (0.1266, 0.3734, 0.0000)  2 Pr 3.25, 1 Ac 3.32
Ac (0.6266, 0.1266, 0.0000)  2 Pr 3.25, 1 Ac 3.32
Ac (0.7500, 0.7500, 0.5000)  10 Pr 3.78-4.09
Ac (0.3734, 0.8734, 0.0000)  2 Pr 3.25, 1 Ac 3.32
Pm (0.2500, 0.7500, 0.5000)  4 Pr 3.16
Pm (0.7500, 0.2500, 0.5000)  4 Pr 3.16


Record 6
Material: Ac19Pm4Pr6
Method: DFT, GGA-PBE
State: optimized geometry

Values from the calculation:
E_tot: -4.0053 eV per atom
crystal system: cubic
DOS at the Fermi energy: 43.0 states/eV/cell

abc: 11.7939 11.7939 11.7939
angles: 109.47 109.47 109.47
With the nearest neighbours (Å) after each atom.
Fractional coordinates of all 29 atoms:
Ac (0.2641, 0.0000, 0.2641)  2 Pr 3.58, 5 Ac 3.60-3.94, 2 Pm 3.61
Ac (0.0000, 0.2641, 0.2641)  2 Pr 3.58, 5 Ac 3.60-3.94, 2 Pm 3.61
Ac (0.2103, 0.2201, 0.5552)  1 Pr 3.43, 2 Pm 3.66-3.79, 1 Ac 3.82
Ac (0.0097, 0.7897, 0.3448)  1 Pr 3.43, 2 Pm 3.66-3.79, 1 Ac 3.82
Ac (0.6649, 0.6552, 0.4448)  1 Pr 3.43, 2 Pm 3.66-3.79, 1 Ac 3.82
Ac (0.7897, 0.3448, 0.0097)  1 Pr 3.43, 2 Pm 3.66-3.79, 1 Ac 3.82
Ac (0.3448, 0.0097, 0.7897)  1 Pr 3.43, 2 Pm 3.66-3.79, 1 Ac 3.82
Ac (0.0000, 0.0000, 0.0000)  6 Ac 3.60
Ac (0.5552, 0.2103, 0.2201)  1 Pr 3.43, 2 Pm 3.66-3.79, 1 Ac 3.82
Ac (0.7359, 0.0000, 0.7359)  2 Pr 3.58, 5 Ac 3.60-3.94, 2 Pm 3.61
Ac (0.3351, 0.7799, 0.9903)  1 Pr 3.43, 2 Pm 3.66-3.79, 1 Ac 3.82
Ac (0.9903, 0.3351, 0.7799)  1 Pr 3.43, 2 Pm 3.66-3.79, 1 Ac 3.82
Ac (0.7359, 0.7359, 0.0000)  2 Pr 3.58, 5 Ac 3.60-3.94, 2 Pm 3.61
Ac (0.0000, 0.7359, 0.7359)  2 Pr 3.58, 5 Ac 3.60-3.94, 2 Pm 3.61
Ac (0.6552, 0.4448, 0.6649)  1 Pr 3.43, 2 Pm 3.66-3.79, 1 Ac 3.82
Ac (0.2641, 0.2641, 0.0000)  2 Pr 3.58, 5 Ac 3.60-3.94, 2 Pm 3.61
Ac (0.2201, 0.5552, 0.2103)  1 Pr 3.43, 2 Pm 3.66-3.79, 1 Ac 3.82
Ac (0.7799, 0.9903, 0.3351)  1 Pr 3.43, 2 Pm 3.66-3.79, 1 Ac 3.82
Ac (0.4448, 0.6649, 0.6552)  1 Pr 3.43, 2 Pm 3.66-3.79, 1 Ac 3.82
Pm (0.3536, 0.3536, 0.3536)  9 Ac 3.61-3.79
Pm (0.6464, 0.0000, 0.0000)  9 Ac 3.61-3.79
Pm (0.0000, 0.6464, 0.0000)  9 Ac 3.61-3.79
Pm (0.0000, 0.0000, 0.6464)  9 Ac 3.61-3.79
Pr (0.6160, 0.5000, 0.1160)  1 Pr 3.16, 2 Ac 3.43
Pr (0.5000, 0.8840, 0.3840)  1 Pr 3.16, 2 Ac 3.43
Pr (0.1160, 0.6160, 0.5000)  1 Pr 3.16, 2 Ac 3.43
Pr (0.5000, 0.1160, 0.6160)  1 Pr 3.16, 2 Ac 3.43
Pr (0.8840, 0.3840, 0.5000)  1 Pr 3.16, 2 Ac 3.43
Pr (0.3840, 0.5000, 0.8840)  1 Pr 3.16, 2 Ac 3.43


Record 7
Material: AcPm8Pr4
Method: DFT, GGA-PBE
State: optimized geometry

Values from the calculation:
E_tot: -4.6908 eV per atom
crystal system: monoclinic
DOS at the Fermi energy: 20.0 states/eV/cell

abc: 5.2339 16.9276 6.4017
angles: 63.84 65.87 81.11
With the nearest neighbours (Å) after each atom.
Fractional coordinates of all 13 atoms:
Pm (0.0499, 0.3653, 0.5348)  6 Pm 3.66-3.70, 6 Pr 3.67-3.69
Pm (0.5860, 0.7448, 0.0832)  4 Pr 3.64-3.71, 7 Pm 3.67-3.71, 1 Ac 3.74
Pm (0.7426, 0.2884, 0.2264)  5 Pr 3.66-3.68, 7 Pm 3.67-3.70
Pm (0.2796, 0.6704, 0.7703)  5 Pr 3.66-3.68, 7 Pm 3.66-3.70
Pm (0.9721, 0.5935, 0.4622)  6 Pm 3.66-3.70, 6 Pr 3.67-3.69
Pm (0.2028, 0.8993, 0.6952)  5 Pm 3.66-3.76, 4 Pr 3.68-3.78, 3 Ac 3.71-3.72
Pm (0.8199, 0.0596, 0.3007)  5 Pm 3.67-3.76, 4 Pr 3.68-3.78, 3 Ac 3.71-3.72
Pm (0.4364, 0.2140, 0.9132)  4 Pr 3.64-3.71, 7 Pm 3.67-3.71, 1 Ac 3.74
Pr (0.6651, 0.5183, 0.1515)  9 Pm 3.64-3.69, 3 Pr 3.70
Pr (0.8920, 0.8216, 0.3944)  10 Pm 3.66-3.78, 2 Ac 3.75
Pr (0.1305, 0.1372, 0.6017)  10 Pm 3.66-3.78, 2 Ac 3.75
Pr (0.3568, 0.4405, 0.8458)  9 Pm 3.64-3.69, 3 Pr 3.70
Ac (0.5113, 0.9794, 0.9979)  8 Pm 3.71-3.74, 4 Pr 3.75


Record 8
Material: Ac3PmPr
Method: DFT, GGA-PBE
State: optimized geometry

Values from the calculation:
E_tot: -4.3387 eV per atom
crystal system: monoclinic
DOS at the Fermi energy: 17.3 states/eV/cell

abc: 3.8910 10.9083 10.2062
angles: 75.09 100.99 90.00
With the nearest neighbours (Å) after each atom.
Fractional coordinates of all 10 atoms:
Ac (0.0016, 0.2607, 0.0031)  4 Pr 3.77-3.86, 1 Pm 3.86, 7 Ac 3.89-4.02
Ac (0.9984, 0.7393, 0.9969)  4 Pr 3.77-3.86, 1 Pm 3.86, 7 Ac 3.89-4.02
Ac (0.6021, 0.9545, 0.2041)  3 Pm 3.80-3.81, 9 Ac 3.89-4.02
Ac (0.3979, 0.0455, 0.7959)  3 Pm 3.80-3.81, 9 Ac 3.89-4.02
Ac (0.2012, 0.6517, 0.4024)  3 Pr 3.78-3.87, 2 Pm 3.82, 7 Ac 3.89-3.92
Ac (0.7988, 0.3483, 0.5976)  3 Pr 3.78-3.87, 2 Pm 3.82, 7 Ac 3.89-3.92
Pm (0.2008, 0.1492, 0.4015)  6 Ac 3.80-3.86, 2 Pr 3.84, 4 Pm 3.86-3.89
Pm (0.7992, 0.8508, 0.5985)  6 Ac 3.80-3.86, 2 Pr 3.84, 4 Pm 3.86-3.89
Pr (0.6034, 0.4457, 0.2068)  7 Ac 3.77-3.87, 2 Pm 3.84, 3 Pr 3.89-4.00
Pr (0.3966, 0.5543, 0.7932)  7 Ac 3.77-3.87, 2 Pm 3.84, 3 Pr 3.89-4.00